The following is a GGA+U calculation of TiNiP2O after structural relaxation, from Alexandria via LeMat-Bulk.

Space group: No. 123
Distance to the lowest polymorph of the same formula (meV per atom): 250.8
Fermi-level density of states (states/eV per cell): 2.233

Structure (POSCAR):
```
TiNiP2O
1.0
4.468 0.000 0.000
0.000 4.468 0.000
0.000 0.000 3.517
P Ni O Ti
2 1 1 1
Direct
0.000 0.500 0.000 P
0.500 0.000 0.000 P
0.000 0.000 0.000 Ni
0.000 0.000 0.500 O
0.500 0.500 0.500 Ti
```